8
Lattice="-3.2703 2.0432 0.5244 -1.0499 -0.7375 -3.6740 -4.3216 -7.6271 2.7659" Properties=species:S:1:pos:R:3 comment="HfSi (PBE-GGA, optimized geometry)" energy_ev_per_atom=-8.1897 dos_at_fermi_per_ev_atom=0.54 formation_energy_uncorrected_ev_per_atom=-0.501 pbc="T T T"
Si -2.7156 -0.8852 0.9537
Si -3.7661 -6.0890 0.2374
Si -2.1601 0.6528 -1.5748
Si -2.1608 -3.8135 1.3829
Hf -4.8764 -4.6987 2.3366
Hf -4.3209 -3.1607 -0.1919
Hf 0.0000 0.0000 0.0000
Hf -1.6053 -2.2755 -1.1455